Below is a geometry-optimized Na3Li2Sn4 structure, with properties calculated at the PBE-GGA level.

Results
Its electronic total energy is -2.804 eV/atom. Its space group is C2/c (15). Its relative energy among the computed polymorphs is 18 meV per atom. The value obtained for the formation energy is -160 meV per atom. Its density of states at the Fermi level is 6.714 states/eV per cell.

Cell lengths 6.4131, 9.0027, 9.0027 Å; angles 61.44, 89.85, 89.85 degrees
Closest atoms and distances in Å follow each position.
Sites, in units of the cell vectors:
Na1 0.2502 0.1622 0.1617  2 Na 3.21, 8 Sn 3.30-3.59, 4 Li 3.51-3.54
Na2 0.7500 0.5000 0.5000  2 Na 3.21, 4 Li 3.27-3.28, 8 Sn 3.38-3.45
Na3 0.2498 0.8383 0.8378  2 Na 3.21, 8 Sn 3.30-3.59, 4 Li 3.51-3.54
Na4 0.7498 0.8378 0.8383  2 Na 3.21, 8 Sn 3.30-3.59, 4 Li 3.51-3.54
Na5 0.7502 0.1617 0.1622  2 Na 3.21, 8 Sn 3.30-3.59, 4 Li 3.51-3.54
Na6 0.2500 0.5000 0.5000  2 Na 3.21, 4 Li 3.27-3.28, 8 Sn 3.38-3.45
Li1 0.0017 0.4990 0.1834  2 Sn 2.87-2.97
Li2 0.4983 0.8166 0.5010  2 Sn 2.87-2.97
Li3 0.5017 0.1834 0.4990  2 Sn 2.87-2.97
Li4 0.9983 0.5010 0.8166  2 Sn 2.87-2.97
Sn1 0.4977 0.5222 0.8275  1 Li 2.87, 2 Sn 2.94-3.05
Sn2 0.0001 0.8293 0.1827  1 Li 2.97, 4 Sn 3.05-3.26, 1 Na 3.32
Sn3 0.9977 0.8275 0.5222  1 Li 2.87, 2 Sn 2.94-3.05
Sn4 0.4999 0.8173 0.1707  1 Li 2.97, 4 Sn 3.05-3.26, 1 Na 3.32
Sn5 0.0023 0.1725 0.4778  1 Li 2.87, 2 Sn 2.94-3.05
Sn6 0.9999 0.1707 0.8173  1 Li 2.97, 4 Sn 3.05-3.26, 1 Na 3.32
Sn7 0.5001 0.1827 0.8293  1 Li 2.97, 4 Sn 3.05-3.26, 1 Na 3.32
Sn8 0.5023 0.4778 0.1725  1 Li 2.87, 2 Sn 2.94-3.05



Below is a geometry-optimized Na6LiSn2 structure, with properties calculated at the PBE-GGA level.

Results
Its electronic total energy is -2.132 eV/atom. Its space group is R-3m (166). The value obtained for the formation energy is -151 meV per atom. Its density of states at the Fermi level is 3.381 states/eV per cell.

Cell lengths 5.4512, 5.4512, 10.8898 Å; angles 75.51, 75.51, 60.00 degrees
Closest atoms and distances in Å follow each position.
Sites, in units of the cell vectors:
Na1 0.5763 0.5763 0.2710  3 Sn 3.15
Na2 0.4237 0.4237 0.7290  3 Sn 3.15
Na3 0.8099 0.8099 0.5703  4 Sn 3.23-3.61, 7 Na 3.27-3.56
Na4 0.2946 0.2946 0.1163  4 Na 3.27-3.54, 3 Li 3.37, 3 Sn 3.49
Na5 0.7054 0.7054 0.8837  4 Na 3.27-3.54, 3 Li 3.37, 3 Sn 3.49
Na6 0.1901 0.1901 0.4297  4 Sn 3.23-3.61, 7 Na 3.27-3.56
Li1 0.0000 0.0000 0.0000  2 Sn 2.72
Sn1 0.0869 0.0869 0.7393  1 Li 2.72
Sn2 0.9131 0.9131 0.2607  1 Li 2.72



Below is a geometry-optimized NaLiSn4 structure, with properties calculated at the PBE-GGA level.

Results
Its electronic total energy is -3.226 eV/atom. Its space group is F-43m (216). Its relative energy among the computed polymorphs is 110 meV per atom. The value obtained for the formation energy is -18 meV per atom. Its density of states at the Fermi level is 7.839 states/eV per cell.

Cell lengths 6.2824, 6.2824, 6.2824 Å; angles 60.00, 60.00, 60.00 degrees
Closest atoms and distances in Å follow each position.
Sites, in units of the cell vectors:
Sn1 0.1244 0.6252 0.6252  6 Sn 3.14-3.15
Sn2 0.6252 0.1244 0.6252  6 Sn 3.14-3.15
Sn3 0.6252 0.6252 0.1244  6 Sn 3.14-3.15
Sn4 0.6252 0.6252 0.6252  6 Sn 3.14-3.15
Li1 0.0000 0.0000 0.0000  12 Sn 3.68, 4 Na 3.85
Na1 0.2500 0.2500 0.2500  12 Sn 3.68, 4 Li 3.85



Below is a geometry-optimized NaLi4Sn2 structure, with properties calculated at the PBE-GGA level.

Results
Its electronic total energy is -2.432 eV/atom. Its space group is I4/mmm (139). Its relative energy among the computed polymorphs is 229 meV per atom. The value obtained for the formation energy is -7 meV per atom. Its density of states at the Fermi level is 1.915 states/eV per cell.

Cell lengths 4.8625, 4.8625, 7.9074 Å; angles 72.09, 72.09, 90.00 degrees
Closest atoms and distances in Å follow each position.
Sites, in units of the cell vectors:
Na1 0.0000 0.0000 0.0000  4 Li 2.43
Li1 0.5000 0.0000 0.0000  2 Na 2.43
Li2 0.0000 0.5000 0.0000  2 Na 2.43
Li3 0.8004 0.8004 0.3991  1 Sn 2.78, 1 Na 2.84
Li4 0.1996 0.1996 0.6009  1 Sn 2.78, 1 Na 2.84
Sn1 0.3951 0.3951 0.2099  5 Li 2.78-2.85, 1 Sn 2.99
Sn2 0.6049 0.6049 0.7901  5 Li 2.78-2.85, 1 Sn 2.99



Below is a geometry-optimized NaLi2Sn2 structure, with properties calculated at the PBE-GGA level.

Results
Its electronic total energy is -2.786 eV/atom. Its space group is Cmmm (65). Its relative energy among the computed polymorphs is 123 meV per atom. The value obtained for the formation energy is -156 meV per atom. Its density of states at the Fermi level is 1.702 states/eV per cell.

Cell lengths 4.6726, 4.6726, 6.1292 Å; angles 89.98, 89.98, 113.52 degrees
Closest atoms and distances in Å follow each position.
Sites, in units of the cell vectors:
Sn1 0.4996 0.4996 0.2690  1 Sn 2.83, 2 Li 2.95, 2 Na 3.05
Sn2 0.5003 0.5003 0.7310  1 Sn 2.83, 2 Li 2.95, 2 Na 3.05
Li1 0.1690 0.8310 0.5000  3 Li 2.64-2.86, 2 Sn 2.95
Li2 0.8310 0.1690 0.5000  3 Li 2.64-2.86, 2 Sn 2.95
Na1 0.0000 0.0000 0.0000  4 Sn 3.05, 4 Li 3.34



Below is a geometry-optimized NaLiSn2 structure, with properties calculated at the PBE-GGA level.

Results
Its electronic total energy is -2.881 eV/atom. Its space group is I-42d (122). Its relative energy among the computed polymorphs is 168 meV per atom. The value obtained for the formation energy is -71 meV per atom. Its density of states at the Fermi level is 3.506 states/eV per cell.

Cell lengths 4.4641, 4.4641, 10.9635 Å; angles 78.25, 78.25, 90.00 degrees
Closest atoms and distances in Å follow each position.
Sites, in units of the cell vectors:
Na1 0.0000 0.0000 0.0000  4 Sn 3.09, 4 Li 3.16
Na2 0.7500 0.2500 0.5000  4 Sn 3.09, 4 Li 3.16
Li1 0.5000 0.5000 0.0000  4 Sn 3.04, 4 Na 3.16
Li2 0.2500 0.7500 0.5000  4 Sn 3.04, 4 Na 3.16
Sn1 0.1405 0.6250 0.2500  2 Li 3.04, 4 Sn 3.06-3.26, 2 Na 3.09
Sn2 0.8750 0.8595 0.7500  2 Li 3.04, 4 Sn 3.06-3.26, 2 Na 3.09
Sn3 0.3750 0.3905 0.7500  2 Li 3.04, 4 Sn 3.06-3.26, 2 Na 3.09
Sn4 0.6095 0.1250 0.2500  2 Li 3.04, 4 Sn 3.06-3.26, 2 Na 3.09



Below is a geometry-optimized NaLiSn3 structure, with properties calculated at the PBE-GGA level.

Results
Its electronic total energy is -2.554 eV/atom. Its space group is Pm-3m (221). Its relative energy among the computed polymorphs is 652 meV per atom. The value obtained for the formation energy is 495 meV per atom. Its density of states at the Fermi level is 3.580 states/eV per cell.

Cell lengths 5.4571, 5.4571, 5.4571 Å; angles 90.00, 90.00, 90.00 degrees
Closest atoms and distances in Å follow each position.
Sites, in units of the cell vectors:
Li1 0.5000 0.5000 0.5000  12 Sn 3.86
Sn1 0.0000 0.0000 0.5000  2 Na 2.73
Sn2 0.5000 0.0000 0.0000  2 Na 2.73
Sn3 0.0000 0.5000 0.0000  2 Na 2.73
Na1 0.0000 0.0000 0.0000  6 Sn 2.73



Below is a geometry-optimized NaLi2Sn3 structure, with properties calculated at the PBE-GGA level.

Results
Its electronic total energy is -3.060 eV/atom. Its space group is Imma (74). The value obtained for the formation energy is -201 meV per atom. Its density of states at the Fermi level is 3.201 states/eV per cell.

Cell lengths 5.9287, 9.2610, 7.7902 Å; angles 126.47, 112.37, 90.00 degrees
Closest atoms and distances in Å follow each position.
Sites, in units of the cell vectors:
Li1 0.1008 0.9040 0.8080  6 Sn 2.89-3.07, 1 Li 3.15
Li2 0.7928 0.5960 0.1920  6 Sn 2.89-3.07, 1 Li 3.15
Li3 0.2072 0.4040 0.8080  6 Sn 2.89-3.07, 1 Li 3.15
Li4 0.8992 0.0960 0.1920  6 Sn 2.89-3.07, 1 Li 3.15
Sn1 0.0000 0.7161 0.0000  4 Li 2.89-3.07, 4 Sn 3.03-3.15
Sn2 0.5000 0.2161 0.0000  4 Li 2.89-3.07, 4 Sn 3.03-3.15
Sn3 0.0000 0.2839 0.0000  4 Li 2.89-3.07, 4 Sn 3.03-3.15
Sn4 0.5000 0.7839 0.0000  4 Li 2.89-3.07, 4 Sn 3.03-3.15
Sn5 0.0000 0.0000 0.5000  4 Li 2.89, 4 Sn 3.15
Sn6 0.0000 0.5000 0.5000  4 Li 2.89, 4 Sn 3.15
Na1 0.4595 0.7500 0.5000  4 Li 3.35-3.48, 6 Sn 3.57-3.63
Na2 0.5405 0.2500 0.5000  4 Li 3.35-3.48, 6 Sn 3.57-3.63



Below is a geometry-optimized NaLi5Sn6 structure, with properties calculated at the PBE-GGA level.

Results
Its electronic total energy is -3.195 eV/atom. Its space group is Immm (71). The value obtained for the formation energy is -287 meV per atom. Its density of states at the Fermi level is 4.883 states/eV per cell.

Cell lengths 4.4427, 8.8950, 8.3023 Å; angles 122.39, 105.52, 90.00 degrees
Closest atoms and distances in Å follow each position.
Sites, in units of the cell vectors:
Sn1 0.5000 0.7341 0.0000  6 Li 3.04-3.26, 4 Sn 3.16, 2 Na 3.24
Sn2 0.5000 0.2659 0.0000  6 Li 3.04-3.26, 4 Sn 3.16, 2 Na 3.24
Sn3 0.1694 0.4274 0.3388  7 Li 3.05-3.19, 4 Sn 3.09-3.16, 1 Na 3.22
Sn4 0.8306 0.0886 0.6612  7 Li 3.05-3.19, 4 Sn 3.09-3.16, 1 Na 3.22
Sn5 0.8306 0.5726 0.6612  7 Li 3.05-3.19, 4 Sn 3.09-3.16, 1 Na 3.22
Sn6 0.1694 0.9114 0.3388  7 Li 3.05-3.19, 4 Sn 3.09-3.16, 1 Na 3.22
Li1 0.0000 0.5000 0.0000  8 Sn 3.04-3.12, 4 Li 3.19
Li2 0.3273 0.3273 0.6547  4 Li 3.07-3.19, 8 Sn 3.09-3.11
Li3 0.6727 0.6727 0.3453  4 Li 3.07-3.19, 8 Sn 3.09-3.11
Li4 0.3315 0.8315 0.6631  8 Sn 3.05-3.26, 2 Li 3.07, 2 Na 3.15
Li5 0.6685 0.1685 0.3369  8 Sn 3.05-3.26, 2 Li 3.07, 2 Na 3.15
Na1 0.0000 0.0000 0.0000  4 Li 3.15, 8 Sn 3.22-3.24



Below is a geometry-optimized NaLiSn4 structure, with properties calculated at the PBE-GGA level.

Results
Its electronic total energy is -3.336 eV/atom. Its space group is Cmc2_1 (36). Its relative energy among the computed polymorphs is 0 meV per atom. The value obtained for the formation energy is -129 meV per atom. Its density of states at the Fermi level is 4.983 states/eV per cell.

Cell lengths 5.8613, 6.3681, 8.9705 Å; angles 90.00, 109.07, 90.00 degrees
Closest atoms and distances in Å follow each position.
Sites, in units of the cell vectors:
Sn1 0.5272 0.3491 0.0545  5 Sn 2.99-3.32, 2 Na 3.22-3.29
Sn2 0.3072 0.6867 0.6144  4 Sn 2.99-3.20, 1 Li 3.06, 1 Na 3.08
Sn3 0.1715 0.9922 0.3430  1 Li 2.89, 4 Sn 3.01-3.20, 1 Na 3.18
Sn4 0.9831 0.2513 0.9663  2 Li 3.01-3.11, 5 Sn 3.04-3.23
Sn5 0.0169 0.7513 0.0337  2 Li 3.01-3.11, 5 Sn 3.04-3.23
Sn6 0.4728 0.8491 0.9455  5 Sn 2.99-3.32, 2 Na 3.22-3.29
Sn7 0.6928 0.1867 0.3856  4 Sn 2.99-3.20, 1 Li 3.06, 1 Na 3.08
Sn8 0.8285 0.4922 0.6570  1 Li 2.89, 4 Sn 3.01-3.20, 1 Na 3.18
Li1 0.1515 0.4431 0.3031  4 Sn 2.89-3.11
Li2 0.8485 0.9431 0.6969  4 Sn 2.89-3.11
Na1 0.3403 0.2110 0.6806  7 Sn 3.08-3.44, 2 Li 3.39
Na2 0.6597 0.7110 0.3194  7 Sn 3.08-3.44, 2 Li 3.39



Below is a geometry-optimized Na3Li2Sn structure, with properties calculated at the PBE-GGA level.

Results
Its electronic total energy is -1.865 eV/atom. Its space group is P6/mmm (191). Its relative energy among the computed polymorphs is 242 meV per atom. The value obtained for the formation energy is 100 meV per atom. Its density of states at the Fermi level is 2.750 states/eV per cell.

Cell lengths 5.7061, 5.7063, 5.5476 Å; angles 90.00, 90.00, 120.00 degrees
Closest atoms and distances in Å follow each position.
Sites, in units of the cell vectors:
Sn1 0.0000 0.0000 0.0000  6 Li 3.29
Na1 0.5000 0.0000 0.5000  4 Na 2.85
Na2 0.5000 0.5000 0.5000  4 Na 2.85
Na3 0.0000 0.5000 0.5000  4 Na 2.85
Li1 0.3333 0.6667 0.0000  6 Na 3.23, 3 Sn 3.29, 3 Li 3.29
Li2 0.6667 0.3333 0.0000  6 Na 3.23, 3 Sn 3.29, 3 Li 3.29